! Dy4TlHgN, relaxed, DFT PBE; values from VASP
&SYSTEM
  ibrav = 0, nat = 14, ntyp = 4
/
ATOMIC_SPECIES
Dy 162.50 Dy.upf
Tl 204.38 Tl.upf
Hg 200.59 Hg.upf
N 14.01 N.upf
ATOMIC_POSITIONS crystal
Dy 0.913 0.250 0.827
Dy 0.420 0.750 0.840
Dy 0.087 0.750 0.173
Dy 0.580 0.250 0.160
Dy 0.500 0.500 0.500
Dy 0.000 0.000 0.500
Dy 0.500 0.000 0.500
Dy 0.000 0.500 0.500
Tl 0.117 0.250 0.234
Tl 0.883 0.750 0.766
Hg 0.619 0.750 0.237
Hg 0.381 0.250 0.763
N 0.249 0.750 0.498
N 0.751 0.250 0.502
CELL_PARAMETERS angstrom
6.833 0.000 0.000
0.000 6.836 0.000
-3.417 0.000 7.483
! VASP energy, eV per atom: -4.910
! Calculated volume, Å³ per cell: 349.5
! SG: No. 63